CuNiGePt | PBE | relaxed Values from VASP.

Calculated values
DFT total energy	-5.198	eV per atom
space-group type	No. 216

Cell and atoms, written as Quantum ESPRESSO input:
```
&SYSTEM
  ibrav = 0, nat = 4, ntyp = 4
/
ATOMIC_SPECIES
Pt 195.08 Pt.upf
Ni 58.69 Ni.upf
Cu 63.55 Cu.upf
Ge 72.64 Ge.upf
CELL_PARAMETERS angstrom
-3.460 -0.667 2.330
-3.582 -1.260 -1.851
-1.416 -3.935 0.599
ATOMIC_POSITIONS angstrom
Pt -2.115 -1.466 0.270
Ni -6.344 -4.397 0.809
Cu -4.229 -2.931 0.539
Ge 0.000 0.000 0.000
```



NaCu3GeS4 | PBE | relaxed Values from VASP.

Calculated values
DFT total energy	-4.082	eV per atom
space-group type	No. 11

Cell and atoms, written as Quantum ESPRESSO input:
```
&SYSTEM
  ibrav = 0, nat = 18, ntyp = 4
/
ATOMIC_SPECIES
S 32.06 S.upf
Cu 63.55 Cu.upf
Na 22.99 Na.upf
Ge 72.64 Ge.upf
CELL_PARAMETERS angstrom
-3.372 -3.079 3.125
3.740 -5.928 -1.806
6.864 2.554 5.832
ATOMIC_POSITIONS angstrom
S 4.690 -4.584 3.000
S 2.723 -7.778 2.545
S 4.509 1.324 4.607
S 0.952 -4.971 3.400
S 0.341 -2.287 0.961
S 6.280 -1.483 3.751
S 2.542 -1.870 4.151
S 6.891 -4.167 6.190
Cu 2.766 0.235 3.268
Cu 2.242 -1.131 1.104
Cu 3.032 -4.415 4.576
Cu 4.990 -5.323 6.047
Cu 4.466 -6.688 3.883
Cu 4.200 -2.039 2.575
Na 4.714 -1.276 6.699
Na 2.518 -5.178 0.453
Ge 6.543 -3.738 4.060
Ge 0.690 -2.716 3.091
```



NdAlAsO | PBE | relaxed Values from VASP.

Calculated values
DFT total energy	-6.138	eV per atom
space-group type	No. 26

Cell and atoms, written as Quantum ESPRESSO input:
```
&SYSTEM
  ibrav = 0, nat = 8, ntyp = 4
/
ATOMIC_SPECIES
As 74.92 As.upf
O 16.00 O.upf
Nd 144.24 Nd.upf
Al 26.98 Al.upf
CELL_PARAMETERS angstrom
4.295 0.000 0.000
0.000 6.599 0.000
0.000 0.000 5.896
ATOMIC_POSITIONS angstrom
As 2.148 4.890 5.412
As 2.148 1.709 2.463
O 0.000 5.793 2.164
O 0.000 0.806 5.112
Nd 2.148 4.656 2.490
Nd 2.148 1.943 5.438
Al 0.000 0.716 3.224
Al 0.000 5.883 0.276
```



GdTcPO | PBE | relaxed Values from VASP.

Calculated values
DFT total energy	-8.261	eV per atom
space-group type	No. 129

Cell and atoms, written as Quantum ESPRESSO input:
```
&SYSTEM
  ibrav = 0, nat = 8, ntyp = 4
/
ATOMIC_SPECIES
Gd 157.25 Gd.upf
P 30.97 P.upf
Tc 98.00 Tc.upf
O 16.00 O.upf
CELL_PARAMETERS angstrom
3.931 0.000 0.000
0.000 3.931 0.000
0.000 0.000 8.369
ATOMIC_POSITIONS angstrom
Gd 0.000 0.000 1.129
Gd 1.966 1.966 7.240
P 1.966 1.966 2.824
P 0.000 0.000 5.545
Tc 0.000 1.966 4.185
Tc 1.966 0.000 4.185
O 0.000 1.966 0.000
O 1.966 0.000 0.000
```



Gd3Tl2NiSnIr2 | PBE | relaxed Values from VASP.

Calculated values
DFT total energy	-5.684	eV per atom
space-group type	No. 38

Cell and atoms, written as Quantum ESPRESSO input:
```
&SYSTEM
  ibrav = 0, nat = 9, ntyp = 5
/
ATOMIC_SPECIES
Gd 157.25 Gd.upf
Sn 118.71 Sn.upf
Ni 58.69 Ni.upf
Ir 192.22 Ir.upf
Tl 204.38 Tl.upf
CELL_PARAMETERS angstrom
3.839 0.000 0.000
0.000 6.634 3.828
0.000 -6.634 3.828
ATOMIC_POSITIONS angstrom
Gd 1.920 0.000 4.504
Gd 1.920 2.716 1.579
Gd 1.920 -2.716 1.579
Sn 0.000 0.000 1.913
Ni 1.920 0.000 0.125
Ir 0.000 -2.138 3.767
Ir 0.000 2.138 3.767
Tl 0.000 4.956 2.868
Tl 0.000 -4.956 2.868
```



Cs2FeCoC6N6 | PBE | relaxed Values from VASP.

Calculated values
DFT total energy	-7.711	eV per atom
space-group type	No. 225

Cell and atoms, written as Quantum ESPRESSO input:
```
&SYSTEM
  ibrav = 0, nat = 16, ntyp = 5
/
ATOMIC_SPECIES
N 14.01 N.upf
C 12.01 C.upf
Co 58.93 Co.upf
Cs 132.91 Cs.upf
Fe 55.84 Fe.upf
CELL_PARAMETERS angstrom
0.000 5.022 5.022
5.022 0.000 5.022
5.022 5.022 0.000
ATOMIC_POSITIONS angstrom
N 5.022 5.022 3.054
N 5.022 3.054 5.022
N 5.022 6.990 5.022
N 6.990 5.022 5.022
N 3.054 5.022 5.022
N 5.022 5.022 6.990
C 5.022 8.170 5.022
C 5.022 5.022 8.170
C 8.170 5.022 5.022
C 5.022 1.874 5.022
C 1.874 5.022 5.022
C 5.022 5.022 1.874
Co 5.022 5.022 5.022
Cs 7.533 7.533 7.533
Cs 2.511 2.511 2.511
Fe 0.000 0.000 0.000
```